Entry 1:
# TbErAu4

TbErAu4 after structural relaxation (GGA-PBE, the Alexandria database).

Properties
Energy of formation = -0.87 eV/atom

```
data_TbErAu4
_chemical_formula_sum 'Tb1 Er1 Au4'
_cell_length_a 3.742
_cell_length_b 3.742
_cell_length_c 9.071
_cell_angle_alpha 90.00
_cell_angle_beta 90.00
_cell_angle_gamma 90.00
_space_group_name_H-M_alt 'P 4/m m m'
_space_group_IT_number 123
_space_group_name_Hall '-P 4 2'
loop_
_atom_site_label
_atom_site_type_symbol
_atom_site_fract_x
_atom_site_fract_y
_atom_site_fract_z
Tb1 Tb 0.000 0.000 0.000
Er1 Er 0.500 0.500 0.500
Au1 Au 0.000 0.000 0.337
Au2 Au 0.500 0.500 0.167
```



Entry 2:
# NdDy3Tm6

NdDy3Tm6 after structural relaxation (GGA-PBE, the Alexandria database).

Properties
Distance to the lowest polymorph of the same formula = 149.7 meV/atom
Energy of formation = 0.30 eV/atom

```
data_NdDy3Tm6
_chemical_formula_sum 'Nd3 Dy9 Tm18'
_cell_length_a 9.7448
_cell_length_b 9.7448
_cell_length_c 11.5565
_cell_angle_alpha 90.00
_cell_angle_beta 90.00
_cell_angle_gamma 120.00
_space_group_name_H-M_alt 'R 3'
_space_group_IT_number 146
_space_group_name_Hall 'R 3'
loop_
_atom_site_label
_atom_site_type_symbol
_atom_site_fract_x
_atom_site_fract_y
_atom_site_fract_z
Nd1 Nd 0.0000 0.0000 0.0000
Dy1 Dy 0.0000 0.0000 0.2530
Dy2 Dy 0.0000 0.0000 0.5001
Dy3 Dy 0.0000 0.0000 0.7481
Tm1 Tm 0.0004 0.3334 0.6661
Tm2 Tm 0.9996 0.6695 0.4994
```



Entry 3:
# FeAs

FeAs after structural relaxation (GGA-PBE, the Alexandria database).

Properties
Energy of formation = 0.13 eV/atom

```
data_FeAs
_chemical_formula_sum 'Fe8 As8'
_cell_length_a 7.075
_cell_length_b 7.075
_cell_length_c 7.075
_cell_angle_alpha 90.00
_cell_angle_beta 90.00
_cell_angle_gamma 90.00
_space_group_name_H-M_alt 'I -4 3 m'
_space_group_IT_number 217
_space_group_name_Hall 'I -4 2 3'
loop_
_atom_site_label
_atom_site_type_symbol
_atom_site_fract_x
_atom_site_fract_y
_atom_site_fract_z
Fe1 Fe 0.125 0.125 0.125
As1 As 0.189 0.189 0.811
```



Entry 4:
# InFe2Ru2

InFe2Ru2 after structural relaxation (GGA-PBE, the Alexandria database).

Properties
Distance to the lowest polymorph of the same formula = 0.0 meV/atom
Energy of formation = 0.29 eV/atom

```
data_InFe2Ru2
_chemical_formula_sum 'In2 Fe4 Ru4'
_cell_length_a 7.147
_cell_length_b 7.147
_cell_length_c 2.822
_cell_angle_alpha 90.00
_cell_angle_beta 90.00
_cell_angle_gamma 90.00
_space_group_name_H-M_alt 'P 4/m b m'
_space_group_IT_number 127
_space_group_name_Hall '-P 4 2ab'
loop_
_atom_site_label
_atom_site_type_symbol
_atom_site_fract_x
_atom_site_fract_y
_atom_site_fract_z
In1 In 0.000 0.000 0.000
Fe1 Fe 0.114 0.386 0.000
Ru1 Ru 0.174 0.674 0.500
```